A geometry-optimized BiPd3N structure, computed with PBE.

Cell lengths 4.3154, 4.3154, 4.3154 Å; angles 90.00, 90.00, 90.00 degrees
Fractional coordinates of all 5 atoms:
Pd  0.0000  0.5000  0.0000
Pd  0.5000  0.0000  0.0000
Pd  0.0000  0.0000  0.5000
Bi  0.5000  0.5000  0.5000
N  0.0000  0.0000  0.0000

Values from the calculation:
Its crystal system is cubic. Its symmetry is Pm-3m (221). The calculation puts the size of the total moment at 0.0 μB/f.u. The value obtained for the energy above the most stable polymorph in this dataset is 0.000 eV per atom.